The following is a DFT calculation (GGA-PBE) of a relaxed structure of Rb2NiGeC.

```
Rb2NiGeC
1.0
-0.282 4.260 -4.556
-4.446 -0.114 0.169
0.045 4.562 4.262
Ni Rb C Ge
1 2 1 1
Cartesian
0.000 0.000 0.000
-0.141 2.130 -2.278
0.023 2.281 2.131
-2.341 4.354 -0.063
-2.223 -0.057 0.084
```

## Properties
The calculation puts the density of states at the Fermi level at 0.494 states/eV per atom. The energy of formation from the pure elements is 1.243 eV per atom. As for the theoretical density: 3.01 g/cm³. Its symmetry is No. 123.